Record 1
Compound: La3Cu2Au
Source: the Alexandria database
Functional: PBE-GGA
Structure: relaxed

Computed properties:
For the energy of formation from the pure elements, the calculation gives -201.3 kJ/mol of formula units. For the energy, the calculation gives -0.174 Ha/atom.

Cell lengths 5.2526, 5.2526, 6.4202 Å; angles 90.00, 90.00, 120.00 degrees
Space group P-3m1 (No. 164)
One atom of each set of equivalent atoms:
La: 0.0000 0.0000 0.0000 [1 per cell]
La: 0.3333 0.6667 0.6715 [2 per cell]
Cu: 0.3333 0.6667 0.1507 [2 per cell]
Au: 0.0000 0.0000 0.5000 [1 per cell]

=====

Record 2
Compound: LaCu4Au2
Source: the Alexandria database
Functional: PBE-GGA
Structure: relaxed

Computed properties:
For the energy of formation from the pure elements, the calculation gives 99.0 kJ/mol of formula units. For the energy, the calculation gives -0.141 Ha/atom.

Cell lengths 7.454, 7.454, 5.528 Å; angles 90.00, 90.00, 90.00 degrees
Space group I4/mmm (No. 139)
One atom of each set of equivalent atoms:
La: 0.000 0.000 0.000 [2 per cell]
Cu: 0.000 0.219 0.500 [8 per cell]
Au: 0.000 0.500 0.250 [4 per cell]